No. 1
## Nd3NbO7 (PBE)

Data for a relaxed structure of Nd3NbO7.

offset from the most stable computed form: 0.00 eV per formula unit
symmetry: Pnma
D(E_F): 0.00 states/eV per cell

a b c (Å): 7.682 7.772 10.986
angles (deg): 90.00 90.00 90.00
Fractional positions:
1 O 0.757 0.770 0.617
2 O 0.457 0.095 0.887
3 O 0.543 0.905 0.387
4 O 0.464 0.549 0.127
5 O 0.036 0.049 0.873
6 O 0.536 0.451 0.627
7 O 0.957 0.405 0.613
8 O 0.543 0.905 0.113
9 O 0.964 0.951 0.127
10 O 0.964 0.951 0.373
11 O 0.043 0.595 0.113
12 O 0.753 0.670 0.250
13 O 0.257 0.730 0.617
14 O 0.957 0.405 0.887
15 O 0.457 0.095 0.613
16 O 0.257 0.730 0.883
17 O 0.464 0.549 0.373
18 O 0.043 0.595 0.387
19 O 0.747 0.170 0.750
20 O 0.757 0.770 0.883
21 O 0.243 0.230 0.383
22 O 0.247 0.330 0.750
23 O 0.243 0.230 0.117
24 O 0.036 0.049 0.627
25 O 0.536 0.451 0.873
26 O 0.743 0.270 0.383
27 O 0.743 0.270 0.117
28 O 0.253 0.830 0.250
29 Nd 0.749 0.542 0.024
30 Nd 0.749 0.542 0.476
31 Nd 0.251 0.458 0.524
32 Nd 0.487 0.295 0.250
33 Nd 0.013 0.795 0.750
34 Nd 0.249 0.958 0.024
35 Nd 0.987 0.205 0.250
36 Nd 0.251 0.458 0.976
37 Nd 0.751 0.042 0.976
38 Nd 0.751 0.042 0.524
39 Nd 0.249 0.958 0.476
40 Nd 0.513 0.705 0.750
41 Nb 0.494 0.753 0.250
42 Nb 0.506 0.247 0.750
43 Nb 0.994 0.747 0.250
44 Nb 0.006 0.253 0.750

No. 2
## Nd6NbO12 (PBE)

Data for a relaxed structure of Nd6NbO12.

symmetry: R-3
D(E_F): 7.00 states/eV per cell

a b c (Å): 6.736 6.736 6.736
angles (deg): 98.61 98.61 98.61
Each line ends with the local moment (μB).
Fractional positions:
1 Nb 0.000 0.000 0.000  -0.01
2 Nd 0.140 0.298 0.611  -0.01
3 Nd 0.860 0.702 0.389  -0.01
4 Nd 0.611 0.140 0.298  -0.01
5 Nd 0.389 0.860 0.702  -0.01
6 Nd 0.702 0.389 0.860  -0.01
7 Nd 0.298 0.611 0.140  -0.01
8 O 0.411 0.558 0.823  0.15
9 O 0.932 0.703 0.040  0.01
10 O 0.068 0.297 0.960  0.01
11 O 0.823 0.411 0.558  0.15
12 O 0.177 0.589 0.442  0.15
13 O 0.442 0.177 0.589  0.15
14 O 0.589 0.442 0.177  0.15
15 O 0.040 0.932 0.703  0.01
16 O 0.960 0.068 0.297  0.01
17 O 0.703 0.040 0.932  0.01
18 O 0.297 0.960 0.068  0.01
19 O 0.558 0.823 0.411  0.15

No. 3
## Nd2NbO (PBE)

Data for a relaxed structure of Nd2NbO.

symmetry: R-3m
D(E_F): 3.18 states/eV per cell

a b c (Å): 3.374 3.374 9.231
angles (deg): 79.47 79.47 60.00
Each line ends with the local moment (μB).
Fractional positions:
1 Nb 0.000 0.000 0.000  0.66
2 Nd 0.110 0.110 0.670  0.04
3 Nd 0.890 0.890 0.330  0.04
4 O 0.500 0.500 0.500  0.01

No. 4
## Nd3NbO7 (PBE)

Data for a relaxed structure of Nd3NbO7.

offset from the most stable computed form: 0.00 eV per formula unit
symmetry: C222_1
D(E_F): 0.00 states/eV per cell

a b c (Å): 6.726 6.726 7.720
angles (deg): 90.00 90.00 108.57
Fractional positions:
1 Nd 0.460 0.460 0.500
2 Nd 0.537 0.998 0.261
3 Nd 0.998 0.537 0.739
4 Nd 0.540 0.540 0.000
5 Nd 0.463 0.002 0.761
6 Nd 0.002 0.463 0.239
7 Nb 0.998 0.998 0.500
8 Nb 0.002 0.002 0.000
9 O 0.324 0.081 0.480
10 O 0.919 0.676 0.020
11 O 0.937 0.063 0.250
12 O 0.629 0.371 0.750
13 O 0.676 0.919 0.980
14 O 0.081 0.324 0.520
15 O 0.063 0.937 0.750
16 O 0.638 0.362 0.250
17 O 0.297 0.044 0.045
18 O 0.371 0.629 0.250
19 O 0.362 0.638 0.750
20 O 0.703 0.956 0.545
21 O 0.044 0.297 0.955
22 O 0.956 0.703 0.455

Calculated ΔE_f (raw) in order - -3202.3 -3161.5 -679.4 -3202.3 meV/atom